VASP calculation (PBE-GGA) on Th4SiIrS2 after structural relaxation.

The structure in CIF format:
```
data_Th4SiIrS2
_space_group_name_H-M_alt 'P 1 2/m 1'
_space_group_IT_number 10
_space_group_name_Hall '-P 2y'
_cell_length_a 7.169
_cell_length_b 4.094
_cell_length_c 7.350
_cell_angle_alpha 90.00
_cell_angle_beta 109.14
_cell_angle_gamma 90.00
loop_
_atom_site_label
_atom_site_type_symbol
_atom_site_fract_x
_atom_site_fract_y
_atom_site_fract_z
_atom_site_occupancy
Th1 Th 0.237 0.000 0.240 1
Th2 Th 0.249 0.500 0.752 1
Si1 Si 0.000 0.000 0.500 1
Ir1 Ir 0.000 0.500 0.000 1
S1 S 0.500 0.000 0.000 1
S2 S 0.500 0.500 0.500 1
```

Results
DOS at the Fermi energy = 6.16 states/eV per cell
formation energy (no corrections) = -1.2952 eV/atom

VASP calculation (PBE-GGA) on TiSiIr2S after structural relaxation.

The structure in CIF format:
```
data_TiSiIr2S
_space_group_name_H-M_alt 'P 4/m m m'
_space_group_IT_number 123
_space_group_name_Hall '-P 4 2'
_cell_length_a 4.392
_cell_length_b 4.392
_cell_length_c 4.442
_cell_angle_alpha 90.00
_cell_angle_beta 90.00
_cell_angle_gamma 90.00
loop_
_atom_site_label
_atom_site_type_symbol
_atom_site_fract_x
_atom_site_fract_y
_atom_site_fract_z
_atom_site_occupancy
Ti1 Ti 0.000 0.000 0.000 1
Si1 Si 0.500 0.500 0.000 1
Ir1 Ir 0.000 0.500 0.500 1
S1 S 0.000 0.000 0.500 1
```

Results
DOS at the Fermi energy = 4.11 states/eV per cell
formation energy (no corrections) = 0.3669 eV/atom

VASP calculation (PBE-GGA) on Sm2IrS after structural relaxation.

The structure in CIF format:
```
data_Sm2IrS
_space_group_name_H-M_alt 'R -3 m'
_space_group_IT_number 166
_space_group_name_Hall '-R 3 2"'
_cell_length_a 3.9939
_cell_length_b 3.9939
_cell_length_c 21.1694
_cell_angle_alpha 90.00
_cell_angle_beta 90.00
_cell_angle_gamma 120.00
loop_
_atom_site_label
_atom_site_type_symbol
_atom_site_fract_x
_atom_site_fract_y
_atom_site_fract_z
_atom_site_occupancy
Sm1 Sm 0.0000 0.0000 0.2465 1
Ir1 Ir 0.0000 0.0000 0.5000 1
S1 S 0.0000 0.0000 0.0000 1
```

Results
DOS at the Fermi energy = 5.98 states/eV per cell
formation energy (no corrections) = -1.2626 eV/atom

VASP calculation (PBE-GGA) on Sm2IrS after structural relaxation.

The structure in CIF format:
```
data_Sm2IrS
_space_group_name_H-M_alt 'R 3 m'
_space_group_IT_number 160
_space_group_name_Hall 'R 3 -2"'
_cell_length_a 3.9917
_cell_length_b 3.9917
_cell_length_c 21.5565
_cell_angle_alpha 90.00
_cell_angle_beta 90.00
_cell_angle_gamma 120.00
loop_
_atom_site_label
_atom_site_type_symbol
_atom_site_fract_x
_atom_site_fract_y
_atom_site_fract_z
_atom_site_occupancy
Sm1 Sm 0.0000 0.0000 0.0000 1
Sm2 Sm 0.0000 0.0000 0.1786 1
Ir1 Ir 0.0000 0.0000 0.5899 1
S1 S 0.0000 0.0000 0.7566 1
```

Results
DOS at the Fermi energy = 7.36 states/eV per cell
formation energy (no corrections) = -1.1957 eV/atom

VASP calculation (PBE-GGA) on Sm4IrS3 after structural relaxation.

The structure in CIF format:
```
data_Sm4IrS3
_space_group_name_H-M_alt 'C m m m'
_space_group_IT_number 65
_space_group_name_Hall '-C 2 2'
_cell_length_a 8.241
_cell_length_b 11.546
_cell_length_c 4.009
_cell_angle_alpha 90.00
_cell_angle_beta 90.00
_cell_angle_gamma 90.00
loop_
_atom_site_label
_atom_site_type_symbol
_atom_site_fract_x
_atom_site_fract_y
_atom_site_fract_z
_atom_site_occupancy
Sm1 Sm 0.000 0.247 0.000 1
Sm2 Sm 0.241 0.000 0.500 1
Ir1 Ir 0.000 0.000 0.000 1
S1 S 0.000 0.500 0.000 1
S2 S 0.250 0.250 0.500 1
```

Results
DOS at the Fermi energy = 12.29 states/eV per cell
formation energy (no corrections) = -1.6524 eV/atom

VASP calculation (PBE-GGA) on Sm7IrS5 after structural relaxation.

The structure in CIF format:
```
data_Sm7IrS5
_space_group_name_H-M_alt 'C m c 21'
_space_group_IT_number 36
_space_group_name_Hall 'C 2c -2'
_cell_length_a 3.944
_cell_length_b 13.238
_cell_length_c 24.116
_cell_angle_alpha 90.00
_cell_angle_beta 90.00
_cell_angle_gamma 90.00
loop_
_atom_site_label
_atom_site_type_symbol
_atom_site_fract_x
_atom_site_fract_y
_atom_site_fract_z
_atom_site_occupancy
Sm1 Sm 0.000 0.040 0.000 1
Sm2 Sm 0.000 0.138 0.714 1
Sm3 Sm 0.000 0.139 0.286 1
Sm4 Sm 0.000 0.303 0.071 1
Sm5 Sm 0.000 0.303 0.929 1
Sm6 Sm 0.000 0.411 0.641 1
Sm7 Sm 0.000 0.412 0.358 1
Ir1 Ir 0.000 0.306 0.500 1
S1 S 0.000 0.051 0.392 1
S2 S 0.000 0.051 0.608 1
S3 S 0.000 0.224 0.821 1
S4 S 0.000 0.225 0.179 1
S5 S 0.000 0.500 0.250 1
```

Results
DOS at the Fermi energy = 30.31 states/eV per cell
formation energy (no corrections) = -1.6742 eV/atom

VASP calculation (PBE-GGA) on Sm6TeIr2S3 after structural relaxation.

The structure in CIF format:
```
data_Sm6TeIr2S3
_space_group_name_H-M_alt 'C 1 2/m 1'
_space_group_IT_number 12
_space_group_name_Hall '-C 2y'
_cell_length_a 18.207
_cell_length_b 4.059
_cell_length_c 8.549
_cell_angle_alpha 90.00
_cell_angle_beta 105.17
_cell_angle_gamma 90.00
loop_
_atom_site_label
_atom_site_type_symbol
_atom_site_fract_x
_atom_site_fract_y
_atom_site_fract_z
_atom_site_occupancy
Sm1 Sm 0.009 0.000 0.277 1
Sm2 Sm 0.170 0.500 0.583 1
Sm3 Sm 0.178 0.500 0.111 1
Te1 Te 0.000 0.500 0.000 1
Ir1 Ir 0.170 0.000 0.341 1
S1 S 0.000 0.500 0.500 1
S2 S 0.160 0.000 0.841 1
```

Results
DOS at the Fermi energy = 9.89 states/eV per cell
formation energy (no corrections) = -1.4186 eV/atom

VASP calculation (PBE-GGA) on SmThIrS after structural relaxation.

The structure in CIF format:
```
data_SmThIrS
_space_group_name_H-M_alt 'R 3 m'
_space_group_IT_number 160
_space_group_name_Hall 'R 3 -2"'
_cell_length_a 4.0341
_cell_length_b 4.0341
_cell_length_c 21.8405
_cell_angle_alpha 90.00
_cell_angle_beta 90.00
_cell_angle_gamma 120.00
loop_
_atom_site_label
_atom_site_type_symbol
_atom_site_fract_x
_atom_site_fract_y
_atom_site_fract_z
_atom_site_occupancy
Sm1 Sm 0.0000 0.0000 0.0000 1
Th1 Th 0.0000 0.0000 0.1831 1
Ir1 Ir 0.0000 0.0000 0.5875 1
S1 S 0.0000 0.0000 0.7588 1
```

Results
DOS at the Fermi energy = 3.79 states/eV per cell
formation energy (no corrections) = -1.2892 eV/atom

VASP calculation (PBE-GGA) on SnIrS3 after structural relaxation.

The structure in CIF format:
```
data_SnIrS3
_space_group_name_H-M_alt 'P 1 21/m 1'
_space_group_IT_number 11
_space_group_name_Hall '-P 2yb'
_cell_length_a 6.485
_cell_length_b 3.688
_cell_length_c 9.145
_cell_angle_alpha 90.00
_cell_angle_beta 92.41
_cell_angle_gamma 90.00
loop_
_atom_site_label
_atom_site_type_symbol
_atom_site_fract_x
_atom_site_fract_y
_atom_site_fract_z
_atom_site_occupancy
Sn1 Sn 0.081 0.250 0.194 1
Ir1 Ir 0.420 0.250 0.833 1
S1 S 0.114 0.250 0.675 1
S2 S 0.306 0.750 0.981 1
S3 S 0.450 0.250 0.304 1
```

Results
DOS at the Fermi energy = 4.13 states/eV per cell
formation energy (no corrections) = -0.3297 eV/atom

VASP calculation (PBE-GGA) on SnIr3S after structural relaxation.

The structure in CIF format:
```
data_SnIr3S
_space_group_name_H-M_alt 'P m -3 m'
_space_group_IT_number 221
_space_group_name_Hall '-P 4 2 3'
_cell_length_a 4.900
_cell_length_b 4.900
_cell_length_c 4.900
_cell_angle_alpha 90.00
_cell_angle_beta 90.00
_cell_angle_gamma 90.00
loop_
_atom_site_label
_atom_site_type_symbol
_atom_site_fract_x
_atom_site_fract_y
_atom_site_fract_z
_atom_site_occupancy
Sn1 Sn 0.000 0.000 0.000 1
Ir1 Ir 0.000 0.000 0.500 1
S1 S 0.500 0.500 0.500 1
```

Results
DOS at the Fermi energy = 6.92 states/eV per cell
formation energy (no corrections) = 2.1996 eV/atom

VASP calculation (PBE-GGA) on Sn2IrS after structural relaxation.

The structure in CIF format:
```
data_Sn2IrS
_space_group_name_H-M_alt 'I -4 2 d'
_space_group_IT_number 122
_space_group_name_Hall 'I -4 2bw'
_cell_length_a 6.198
_cell_length_b 6.198
_cell_length_c 11.625
_cell_angle_alpha 90.00
_cell_angle_beta 90.00
_cell_angle_gamma 90.00
loop_
_atom_site_label
_atom_site_type_symbol
_atom_site_fract_x
_atom_site_fract_y
_atom_site_fract_z
_atom_site_occupancy
Sn1 Sn 0.228 0.250 0.125 1
Ir1 Ir 0.000 0.000 0.000 1
S1 S 0.000 0.000 0.500 1
```

Results
DOS at the Fermi energy = 12.90 states/eV per cell
formation energy (no corrections) = 0.0531 eV/atom

VASP calculation (PBE-GGA) on Sn3IrS8 after structural relaxation.

The structure in CIF format:
```
data_Sn3IrS8
_space_group_name_H-M_alt 'C 1 2/m 1'
_space_group_IT_number 12
_space_group_name_Hall '-C 2y'
_cell_length_a 12.782
_cell_length_b 7.376
_cell_length_c 7.442
_cell_angle_alpha 90.00
_cell_angle_beta 125.31
_cell_angle_gamma 90.00
loop_
_atom_site_label
_atom_site_type_symbol
_atom_site_fract_x
_atom_site_fract_y
_atom_site_fract_z
_atom_site_occupancy
Sn1 Sn 0.000 0.000 0.000 1
Sn2 Sn 0.250 0.250 0.000 1
Ir1 Ir 0.000 0.500 0.000 1
S1 S 0.002 0.269 0.778 1
S2 S 0.229 0.500 0.222 1
S3 S 0.250 0.000 0.249 1
```

Results
DOS at the Fermi energy = 27.79 states/eV per cell
formation energy (no corrections) = -0.3572 eV/atom